No. 1
Material: ZnCdNO
Method: DFT, GGA-PBE
State: relaxed

Structure (POSCAR):
```
ZnCdNO
1.0
4.032 0.000 0.000
0.000 4.032 0.000
0.000 0.000 7.083
O N Zn Cd
2 2 2 2
Cartesian
2.016 0.000 0.000
0.000 2.016 0.000
2.016 2.016 2.535
0.000 0.000 4.548
0.000 0.000 6.540
2.016 2.016 0.543
0.000 2.016 3.541
2.016 0.000 3.541
```

Summary:
SG   No. 129
Energy above the lowest structure with this stoichiometry   179 meV/atom

No. 2
Material: ZnCdNO
Method: DFT, GGA-PBE
State: relaxed

Structure (POSCAR):
```
ZnCdNO
1.0
4.352 0.000 0.000
0.000 4.352 0.000
0.000 0.000 5.222
Zn N O Cd
2 2 2 2
Cartesian
0.000 2.176 4.990
2.176 0.000 0.233
0.000 2.176 2.919
2.176 0.000 2.303
2.176 2.176 0.000
0.000 0.000 0.000
0.000 0.000 2.611
2.176 2.176 2.611
```

Summary:
SG   No. 129
Energy above the lowest structure with this stoichiometry   129 meV/atom

No. 3
Material: ZnCdNO
Method: DFT, GGA-PBE
State: relaxed

Structure (POSCAR):
```
ZnCdNO
1.0
2.841 -2.840 0.000
2.841 2.840 0.000
0.000 0.000 7.078
O Cd N Zn
2 2 2 2
Cartesian
2.841 -1.420 0.000
2.841 1.420 0.000
1.420 0.000 0.935
4.261 0.000 6.143
4.261 0.000 3.809
1.420 0.000 3.269
2.841 -1.420 3.539
2.841 1.420 3.539
```

Summary:
SG   No. 129
Energy above the lowest structure with this stoichiometry   136 meV/atom